Record 1
A plane-wave DFT calculation with PBE was carried out for an optimized crystal structure of PrUCo.

Computed properties:
ΔH_f (0 K) = 0.13 eV per atom

Cell: 7.302 5.845 3.456 Å, 90.00 90.00 90.00°
Fractional coordinates of all 6 atoms:
Pr (0.250, 0.000, 0.222)
Pr (0.750, 0.000, 0.778)
U (0.000, 0.500, 0.500)
U (0.500, 0.500, 0.500)
Co (0.250, 0.500, 0.974)
Co (0.750, 0.500, 0.026)


Record 2
A plane-wave DFT calculation with PBE was carried out for an optimized crystal structure of Co2AgCl.

Computed properties:
formation energy from raw total energies = 0.708 eV/atom
energy above the most stable polymorph in this dataset = 0.506 eV/atom

Cell: 5.488 5.488 5.488 Å, 107.28 107.28 113.95°
Fractional coordinates of all 8 atoms:
Co (0.070, 0.125, 0.445)
Co (0.375, 0.930, 0.055)
Co (0.680, 0.625, 0.555)
Co (0.875, 0.320, 0.945)
Ag (0.250, 0.750, 0.500)
Ag (0.500, 0.500, 0.000)
Cl (0.000, 0.000, 0.000)
Cl (0.750, 0.250, 0.500)


Record 3
A plane-wave DFT calculation with PBE was carried out for an optimized crystal structure of KPd2Pb.

Computed properties:
ΔH_f (0 K) = -0.22 eV per atom

Cell: 4.680 7.418 6.372 Å, 90.00 90.00 90.00°
Fractional coordinates of all 8 atoms:
K (0.250, 0.250, 0.130)
K (0.750, 0.750, 0.870)
Pd (0.250, 0.058, 0.603)
Pd (0.250, 0.442, 0.603)
Pd (0.750, 0.558, 0.397)
Pd (0.750, 0.942, 0.397)
Pb (0.250, 0.750, 0.345)
Pb (0.750, 0.250, 0.655)


Record 4
A plane-wave DFT calculation with PBE was carried out for an optimized crystal structure of HoAgP2.

Computed properties:
ΔH_f (0 K) = -0.40 eV per atom

Cell: 6.004 6.004 6.004 Å, 39.92 39.92 39.92°
Fractional coordinates of all 4 atoms:
Ho (0.000, 0.000, 0.000)
Ag (0.500, 0.500, 0.500)
P (0.245, 0.245, 0.245)
P (0.755, 0.755, 0.755)


Record 5
A plane-wave DFT calculation with PBE was carried out for an optimized crystal structure of NbGeAs2.

Computed properties:
ΔH_f (0 K) = -0.18 eV per atom

Cell: 5.014 5.167 6.396 Å, 87.60 87.99 65.51°
Fractional coordinates of all 8 atoms:
Nb (0.000, 0.000, 0.000)
Nb (0.162, 0.150, 0.498)
Ge (0.174, 0.640, 0.653)
Ge (0.454, 0.697, 0.261)
As (0.005, 0.495, 0.150)
As (0.513, 0.968, 0.841)
As (0.666, 0.141, 0.345)
As (0.717, 0.440, 0.750)


Record 6
A plane-wave DFT calculation with PBE was carried out for an optimized crystal structure of CeSm2NpN4.

Computed properties:
formation energy from raw total energies = -1.400 eV/atom

Cell: 6.130 3.539 6.139 Å, 90.00 109.33 90.00°
Fractional coordinates of all 8 atoms:
Ce (0.000, 0.000, 0.000)
Sm (0.000, 0.500, 0.500)
Sm (0.500, 0.000, 0.500)
Np (0.500, 0.500, 0.000)
N (0.256, 0.500, 0.234)
N (0.267, 0.000, 0.770)
N (0.733, 0.000, 0.230)
N (0.744, 0.500, 0.766)


Record 7
A plane-wave DFT calculation with PBE was carried out for an optimized crystal structure of KPOsCl2.

Computed properties:
formation energy from raw total energies = -0.311 eV/atom
energy above the most stable polymorph in this dataset = 0.000 eV/atom

Cell: 5.167 5.167 4.465 Å, 90.00 90.00 90.00°
Fractional coordinates of all 5 atoms:
K (0.000, 0.000, 0.000)
P (0.500, 0.500, 0.000)
Os (0.500, 0.500, 0.500)
Cl (0.000, 0.500, 0.500)
Cl (0.500, 0.000, 0.500)


Record 8
A plane-wave DFT calculation with PBE was carried out for an optimized crystal structure of CaPm2AgTe4.

Computed properties:
formation energy from raw total energies = -1.182 eV/atom

Cell: 7.635 4.441 7.861 Å, 90.00 109.72 90.00°
Fractional coordinates of all 8 atoms:
Ca (0.000, 0.000, 0.000)
Pm (0.000, 0.500, 0.500)
Pm (0.500, 0.000, 0.500)
Ag (0.500, 0.500, 0.000)
Te (0.251, 0.500, 0.247)
Te (0.259, 0.000, 0.758)
Te (0.741, 0.000, 0.242)
Te (0.749, 0.500, 0.753)


Record 9
A plane-wave DFT calculation with PBE was carried out for an optimized crystal structure of TbPrSm2Y5.

Computed properties:
ΔH_f (0 K) = 0.25 eV per atom

Cell: 9.981 9.981 9.981 Å, 128.48 128.48 75.85°
Fractional coordinates of all 18 atoms:
Tb (0.250, 0.250, 0.000)
Tb (0.750, 0.750, 0.000)
Pr (0.250, 0.750, 0.500)
Pr (0.750, 0.250, 0.500)
Sm (0.118, 0.618, 0.736)
Sm (0.382, 0.118, 0.500)
Sm (0.618, 0.882, 0.500)
Sm (0.882, 0.382, 0.264)
Y (0.000, 0.000, 0.000)
Y (0.069, 0.157, 0.500)
Y (0.157, 0.657, 0.087)
Y (0.343, 0.431, 0.500)
Y (0.431, 0.931, 0.087)
Y (0.500, 0.500, 0.000)
Y (0.569, 0.069, 0.913)
Y (0.657, 0.569, 0.500)
Y (0.843, 0.343, 0.913)
Y (0.931, 0.843, 0.500)


Record 10
A plane-wave DFT calculation with PBE was carried out for an optimized crystal structure of RbSmCoCl6.

Computed properties:
formation energy from raw total energies = -1.631 eV/atom

Cell: 6.783 6.783 7.347 Å, 90.08 90.08 120.19°
Fractional coordinates of all 9 atoms:
Rb (0.000, 0.000, 0.000)
Sm (0.334, 0.666, 0.500)
Co (0.667, 0.333, 0.500)
Cl (0.385, 0.027, 0.699)
Cl (0.392, 0.366, 0.297)
Cl (0.634, 0.608, 0.703)
Cl (0.641, 0.028, 0.300)
Cl (0.972, 0.359, 0.700)
Cl (0.973, 0.615, 0.301)


Record 11
A plane-wave DFT calculation with PBE was carried out for an optimized crystal structure of Y5Ho3Er.

Computed properties:
ΔH_f (0 K) = 0.05 eV per atom
energy above the most stable polymorph in this dataset = 0.000 eV/atom

Cell: 9.701 9.701 7.008 Å, 90.00 90.00 120.00°
Fractional coordinates of all 18 atoms:
Y (0.000, 0.305, 0.250)
Y (0.000, 0.695, 0.750)
Y (0.305, 0.000, 0.250)
Y (0.305, 0.305, 0.750)
Y (0.333, 0.667, 0.000)
Y (0.333, 0.667, 0.500)
Y (0.667, 0.333, 0.000)
Y (0.667, 0.333, 0.500)
Y (0.695, 0.000, 0.750)
Y (0.695, 0.695, 0.250)
Ho (0.000, 0.359, 0.750)
Ho (0.000, 0.641, 0.250)
Ho (0.359, 0.000, 0.750)
Ho (0.359, 0.359, 0.250)
Ho (0.641, 0.000, 0.250)
Ho (0.641, 0.641, 0.750)
Er (0.000, 0.000, 0.000)
Er (0.000, 0.000, 0.500)


Record 12
A plane-wave DFT calculation with PBE was carried out for an optimized crystal structure of NaTl3Se.

Computed properties:
formation energy from raw total energies = 0.251 eV/atom
energy above the most stable polymorph in this dataset = 0.187 eV/atom

Cell: 5.606 5.606 5.606 Å, 90.00 90.00 90.00°
Fractional coordinates of all 5 atoms:
Na (0.000, 0.000, 0.000)
Tl (0.000, 0.000, 0.500)
Tl (0.000, 0.500, 0.000)
Tl (0.500, 0.000, 0.000)
Se (0.500, 0.500, 0.500)